Li7Mn2Co3O12: optimized geometry, GGA+U.

Properties
Electronic total energy, eV/cell: -139.898

```
data_Li7Mn2Co3O12
_chemical_formula_sum 'Li7 Mn2 Co3 O12'
_space_group_name_H-M_alt 'P 1 2/m 1'
_space_group_IT_number 10
_space_group_name_Hall '-P 2y'
_cell_length_a 5.0507
_cell_length_b 2.8688
_cell_length_c 14.4094
_cell_angle_alpha 90.00
_cell_angle_beta 90.09
_cell_angle_gamma 90.00
loop_
_atom_site_label
_atom_site_fract_x
_atom_site_fract_y
_atom_site_fract_z
Li1 0.0000 0.0000 0.0000
Li2 0.0000 0.0000 0.5000
Li3 0.1488 0.5000 0.3483
Li4 0.3612 0.0000 0.6565
Li5 0.5000 0.5000 0.0000
Mn1 0.1783 0.5000 0.8305
Co1 0.3205 0.0000 0.1666
Co2 0.5000 0.5000 0.5000
O1 0.0050 0.0000 0.7605
O2 0.1762 0.5000 0.0891
O3 0.2082 0.5000 0.5782
O4 0.3422 0.0000 0.4288
O5 0.3469 0.0000 0.9047
O6 0.4608 0.5000 0.2416
```